5
Lattice="-0.691 -5.208 -0.370 3.162 -0.745 4.580 -4.297 0.356 3.024" Properties=species:S:1:pos:R:3 comment="RbBi2IrS (PBE-GGA, relaxed)" final_energy_ev_per_atom=-4.095 pbc="T T T"
Bi -0.346 -2.604 -0.185
Bi -2.149 0.178 1.512
S 1.581 -0.372 2.290
Ir 0.000 0.000 0.000
Rb -0.913 -2.799 3.617